Record 1
ScNbSb2C | Alexandria via LeMat-Bulk | PBE | relaxed; M_tot = 0.00 μB per formula unit; uncorrected energy = -6.46 eV/atom; DOS(E_F) = 3.61 states/eV per cell; ΔE_f (raw) = 0.317 eV per atom; SG = P4/mmm
1.0
-0.792 2.234 4.303
-4.541 -1.869 0.135
1.437 -3.348 2.003
C Nb Sb Sc
1 1 2 1
direct
0.000 0.000 0.000 C
0.000 0.000 0.500 Nb
0.500 0.000 0.000 Sb
0.000 0.500 0.000 Sb
0.500 0.500 0.500 Sc


Record 2
PrTm2Tl3 | Alexandria via LeMat-Bulk | PBE | relaxed; M_tot = 0.00 μB per formula unit; uncorrected energy = -3.80 eV/atom; energy relative to the elements = -0.33 eV per atom; DOS(E_F) = 4.04 states/eV per cell; SG = P4/mmm
1.0
-0.633 -2.800 -2.445
-1.378 -2.127 2.792
-10.708 4.227 -2.066
Tm Tl Pr
2 3 1
direct
0.500 0.500 0.840 Tm
0.500 0.500 0.160 Tm
0.000 0.000 0.683 Tl
0.000 0.000 0.317 Tl
0.000 0.000 0.000 Tl
0.500 0.500 0.500 Pr


Record 3
NaGaC3 | Alexandria via LeMat-Bulk | PBE | relaxed; M_tot = 0.00 μB per formula unit; uncorrected energy = -3.98 eV/atom; energy relative to the elements = 2.43 eV per atom; DOS(E_F) = 3.48 states/eV per cell; SG = Pm-3m
1.0
-2.003 -2.619 -2.486
-1.272 -2.148 3.289
-3.379 2.362 0.235
C Na Ga
3 1 1
direct
0.500 0.000 0.000 C
0.000 0.000 0.500 C
0.000 0.500 0.000 C
0.500 0.500 0.500 Na
0.000 0.000 0.000 Ga


Record 4
ZnGe2Pd | Alexandria via LeMat-Bulk | PBE | relaxed; M_tot = 0.00 μB per formula unit; uncorrected energy = -3.91 eV/atom; energy relative to the elements = 0.02 eV per atom; DOS(E_F) = 3.68 states/eV per cell; SG = I-42d
1.0
-3.567 -0.677 7.118
-5.263 -5.137 -3.126
-2.929 -4.774 2.564
Pd Ge Zn
2 4 2
direct
0.750 0.250 0.500 Pd
0.000 0.000 0.000 Pd
0.875 0.946 0.750 Ge
0.375 0.304 0.750 Ge
0.696 0.125 0.250 Ge
0.054 0.625 0.250 Ge
0.250 0.750 0.500 Zn
0.500 0.500 0.000 Zn


Record 5
Li3FePt4 | Alexandria via LeMat-Bulk | PBE | relaxed; M_tot = 4.15 μB per formula unit; uncorrected energy = -5.27 eV/atom; energy relative to the elements = -0.47 eV per atom; DOS(E_F) = 3.09 states/eV per cell; SG = I4/mmm
1.0
4.086 -0.001 -1.104
-0.295 4.080 -1.087
-0.407 -0.464 6.618
Pt Li Fe
4 3 1
direct
0.626 0.626 0.252 Pt
0.874 0.874 0.748 Pt
0.374 0.374 0.748 Pt
0.126 0.126 0.252 Pt
0.000 0.500 0.000 Li
0.247 0.747 0.494 Li
0.753 0.253 0.506 Li
0.500 0.000 0.000 Fe


Record 6
Ce8InRh2 | Alexandria via LeMat-Bulk | PBE | relaxed; M_tot = 3.17 μB per formula unit; uncorrected energy = -6.17 eV/atom; energy relative to the elements = -0.27 eV per atom; DOS(E_F) = 30.85 states/eV per cell; SG = C2/m
1.0
-2.811 4.481 0.456
-4.136 -0.786 7.198
3.073 2.499 6.869
Rh Ce In
2 8 1
direct
0.000 0.699 0.602 Rh
0.000 0.301 0.398 Rh
0.310 0.416 0.000 Ce
0.066 0.922 0.792 Ce
0.690 0.584 0.000 Ce
0.066 0.713 0.208 Ce
0.934 0.287 0.792 Ce
0.500 0.745 0.511 Ce
0.500 0.255 0.489 Ce
0.934 0.078 0.208 Ce
0.500 0.000 0.000 In


Record 7
DySn2Br8 | Alexandria via LeMat-Bulk | PBE | relaxed; M_tot = 0.00 μB per formula unit; uncorrected energy = -3.40 eV/atom; DOS(E_F) = 7.45 states/eV per cell; ΔE_f (raw) = -1.035 eV per atom; SG = C2/m
1.0
7.113 -0.352 1.355
1.633 7.816 0.755
-0.179 -1.205 7.927
Br Sn Dy
8 2 1
direct
0.765 0.317 0.982 Br
0.771 0.466 0.466 Br
0.235 0.683 0.018 Br
0.229 0.534 0.534 Br
0.765 0.982 0.317 Br
0.235 0.018 0.683 Br
0.232 0.165 0.165 Br
0.768 0.835 0.835 Br
0.542 0.300 0.300 Sn
0.458 0.700 0.700 Sn
0.000 0.000 0.000 Dy


Record 8
Nd4AlSe2Br | Alexandria via LeMat-Bulk | PBE | relaxed; M_tot = 0.00 μB per formula unit; uncorrected energy = -5.22 eV/atom; DOS(E_F) = 3.86 states/eV per cell; ΔE_f (raw) = -1.286 eV per atom; SG = P2/m
1.0
4.132 0.000 0.000
0.000 7.478 -0.242
0.000 2.551 7.188
Se Nd Al Br
2 4 1 1
direct
0.000 0.000 0.000 Se
0.500 0.000 0.500 Se
0.000 0.234 0.273 Nd
0.500 0.241 0.745 Nd
0.000 0.766 0.727 Nd
0.500 0.759 0.255 Nd
0.000 0.500 0.500 Al
0.500 0.500 0.000 Br


Record 9
KAg2P2 | Alexandria via LeMat-Bulk | PBE | relaxed; M_tot = 0.00 μB per formula unit; uncorrected energy = -3.67 eV/atom; energy relative to the elements = -0.15 eV per atom; DOS(E_F) = 1.31 states/eV per cell; SG = I4/mmm
1.0
-2.976 2.981 -1.544
-3.280 -3.022 0.486
-3.942 1.627 4.223
Ag P K
2 2 1
direct
0.250 0.750 0.500 Ag
0.750 0.250 0.500 Ag
0.608 0.608 0.785 P
0.392 0.392 0.215 P
0.000 0.000 0.000 K


Record 10
Na3BeRu | Alexandria via LeMat-Bulk | PBE | relaxed; M_tot = 1.19 μB per formula unit; uncorrected energy = -1.91 eV/atom; energy relative to the elements = 1.49 eV per atom; DOS(E_F) = 6.97 states/eV per cell; SG = Pm-3m
1.0
-3.219 0.163 4.389
0.114 -5.437 0.286
4.391 0.261 3.210
Na Ru Be
3 1 1
direct
0.000 0.500 0.000 Na
0.500 0.000 0.000 Na
0.000 0.000 0.500 Na
0.000 0.000 0.000 Ru
0.500 0.500 0.500 Be


Record 11
Cr3In2 | Alexandria via LeMat-Bulk | PBE | relaxed; M_tot = 3.66 μB per formula unit; uncorrected energy = -6.36 eV/atom; energy relative to the elements = 0.51 eV per atom; DOS(E_F) = 3.08 states/eV per cell; SG = R-3m
1.0
10.888 -1.511 -0.005
10.888 1.511 -0.005
10.680 0.000 2.603
Cr In
3 2
direct
0.189 0.189 0.189 Cr
0.000 0.000 0.000 Cr
0.811 0.811 0.811 Cr
0.405 0.405 0.405 In
0.595 0.595 0.595 In


Record 12
LaPm4Pr2Nd2 | Alexandria via LeMat-Bulk | PBE | relaxed; M_tot = 0.00 μB per formula unit; uncorrected energy = -4.77 eV/atom; energy relative to the elements = 0.01 eV per atom; DOS(E_F) = 12.72 states/eV per cell; SG = C2/m
1.0
3.717 0.000 0.000
-1.859 9.636 -0.523
0.000 -3.798 9.119
Pm Nd La Pr
4 2 1 2
direct
0.519 0.037 0.333 Pm
0.815 0.630 0.666 Pm
0.185 0.370 0.334 Pm
0.481 0.963 0.667 Pm
0.852 0.705 0.335 Nd
0.148 0.295 0.665 Nd
0.000 0.000 0.000 La
0.667 0.334 0.001 Pr
0.333 0.666 0.999 Pr